Entry from the Alexandria database: crystalline Pa2CuP3Ir4 at its relaxed geometry (GGA-PBE).

E   -8.29 eV per atom
Space-group type   P-4m2 (115)
M_tot   0.00 μB/f.u.

Unit cell a=3.962 b=3.962 c=10.482 alpha=90.00 beta=90.00 gamma=90.00
Positions (direct):
Ir (0.000, 0.000, 0.000)
P (0.000, 0.500, 0.131)
Pa (0.500, 0.000, 0.254)
P (0.500, 0.000, 0.869)
P (0.000, 0.000, 0.500)
Ir (0.000, 0.500, 0.346)
Ir (0.500, 0.000, 0.654)
Pa (0.000, 0.500, 0.746)
Ir (0.500, 0.500, 0.000)
Cu (0.500, 0.500, 0.500)

Entry from the Alexandria database: crystalline CuP2IrPb at its relaxed geometry (GGA-PBE).

E   -3.52 eV per atom
Space-group type   P4/mmm (123)
M_tot   0.00 μB/f.u.

Unit cell a=5.124 b=5.066 c=5.124 alpha=90.00 beta=90.00 gamma=90.00
Positions (direct):
P (0.500, 0.000, 0.000)
P (0.000, 0.000, 0.500)
Ir (0.000, 0.500, 0.000)
Pb (0.000, 0.000, 0.000)
Cu (0.500, 0.500, 0.500)

Entry from the Alexandria database: crystalline Pm2CuP3Ir4 at its relaxed geometry (GGA-PBE).

E   -7.39 eV per atom
Space-group type   P-4m2 (115)
M_tot   0.00 μB/f.u.

Unit cell a=4.118 b=4.118 c=9.875 alpha=90.00 beta=90.00 gamma=90.00
Positions (direct):
Ir (0.000, 0.500, 0.369)
Cu (0.500, 0.500, 0.500)
Ir (0.000, 0.000, 0.000)
P (0.000, 0.000, 0.500)
Ir (0.500, 0.000, 0.631)
Pm (0.500, 0.000, 0.257)
P (0.000, 0.500, 0.137)
Ir (0.500, 0.500, 0.000)
Pm (0.000, 0.500, 0.743)
P (0.500, 0.000, 0.863)

Entry from the Alexandria database: crystalline Pm2CuP4Ir3 at its relaxed geometry (GGA-PBE).

E   -7.10 eV per atom
Space-group type   P-4m2 (115)
M_tot   0.00 μB/f.u.

Unit cell a=4.206 b=4.206 c=9.481 alpha=90.00 beta=90.00 gamma=90.00
Positions (direct):
P (0.500, 0.500, 0.000)
Cu (0.500, 0.500, 0.500)
Ir (0.000, 0.500, 0.112)
Pm (0.000, 0.500, 0.755)
Pm (0.500, 0.000, 0.245)
Ir (0.500, 0.000, 0.888)
P (0.000, 0.500, 0.364)
P (0.000, 0.000, 0.000)
Ir (0.000, 0.000, 0.500)
P (0.500, 0.000, 0.636)

Entry from the Alexandria database: crystalline Pr2CuP4Ir3 at its relaxed geometry (GGA-PBE).

E   -7.10 eV per atom
Space-group type   P-4m2 (115)
M_tot   0.00 μB/f.u.

Unit cell a=4.234 b=4.234 c=9.512 alpha=90.00 beta=90.00 gamma=90.00
Positions (direct):
Pr (0.000, 0.500, 0.755)
P (0.500, 0.000, 0.635)
Pr (0.500, 0.000, 0.245)
Ir (0.500, 0.000, 0.889)
P (0.500, 0.500, 0.000)
Ir (0.000, 0.500, 0.111)
Ir (0.000, 0.000, 0.500)
P (0.000, 0.000, 0.000)
P (0.000, 0.500, 0.365)
Cu (0.500, 0.500, 0.500)

Entry from the Alexandria database: crystalline Pr2CuP3Ir4 at its relaxed geometry (GGA-PBE).

E   -7.38 eV per atom
Space-group type   P-4m2 (115)
M_tot   0.00 μB/f.u.

Unit cell a=4.148 b=4.148 c=9.893 alpha=90.00 beta=90.00 gamma=90.00
Positions (direct):
Ir (0.500, 0.000, 0.630)
Pr (0.000, 0.500, 0.743)
Cu (0.500, 0.500, 0.500)
Ir (0.500, 0.500, 0.000)
P (0.000, 0.500, 0.137)
Ir (0.000, 0.500, 0.370)
Ir (0.000, 0.000, 0.000)
P (0.000, 0.000, 0.500)
P (0.500, 0.000, 0.863)
Pr (0.500, 0.000, 0.257)

Entry from the Alexandria database: crystalline CuPIr2Ru at its relaxed geometry (GGA-PBE).

E   -5.73 eV per atom
Space-group type   P4/mmm (123)
M_tot   2.01 μB/f.u.

Unit cell a=4.574 b=4.011 c=4.574 alpha=90.00 beta=90.00 gamma=90.00
Site moments in Bohr magnetons follow the coordinates.
Positions (direct):
Cu (0.000, 0.000, 0.000)  0.01
Ru (0.500, 0.500, 0.500)  1.32
P (0.000, 0.500, 0.000)  -0.02
Ir (0.500, 0.000, 0.000)  0.31
Ir (0.000, 0.000, 0.500)  0.35

Entry from the Alexandria database: crystalline CuP2IrS at its relaxed geometry (GGA-PBE).

Polymorph energy (0 for the lowest one)   0 meV/atom
Space-group type   P4/mmm (123)
M_tot   0.00 μB/f.u.
Formation energy without anion corrections   406 kJ/mol of formula units

Unit cell a=4.450 b=4.450 c=5.232 alpha=90.00 beta=90.00 gamma=90.00
Positions (direct):
P (0.500, 0.000, 0.000)
S (0.000, 0.000, 0.500)
Ir (0.000, 0.000, 0.000)
P (0.000, 0.500, 0.000)
Cu (0.500, 0.500, 0.500)

Entry from the Alexandria database: crystalline CuPIrS2 at its relaxed geometry (GGA-PBE).

Polymorph energy (0 for the lowest one)   0 meV/atom
Space-group type   P4/mmm (123)
M_tot   0.24 μB/f.u.
Formation energy without anion corrections   403 kJ/mol of formula units

Unit cell a=4.847 b=4.847 c=4.382 alpha=90.00 beta=90.00 gamma=90.00
Site moments in Bohr magnetons follow the coordinates.
Positions (direct):
Cu (0.500, 0.500, 0.500)  0.02
P (0.000, 0.000, 0.500)  0.02
S (0.000, 0.500, 0.000)  0.05
Ir (0.000, 0.000, 0.000)  0.03
S (0.500, 0.000, 0.000)  0.05

Entry from the Alexandria database: crystalline CuPIrS2 at its relaxed geometry (GGA-PBE).

Polymorph energy (0 for the lowest one)   363 meV/atom
Space-group type   P4/mmm (123)
M_tot   0.00 μB/f.u.
Formation energy without anion corrections   578 kJ/mol of formula units

Unit cell a=4.406 b=4.406 c=4.358 alpha=90.00 beta=90.00 gamma=90.00
Positions (direct):
Ir (0.500, 0.500, 0.500)
Cu (0.000, 0.000, 0.000)
P (0.000, 0.000, 0.500)
S (0.500, 0.000, 0.000)
S (0.000, 0.500, 0.000)

Entry from the Alexandria database: crystalline Sm2CuP3Ir4 at its relaxed geometry (GGA-PBE).

E   -7.39 eV per atom
Space-group type   P-4m2 (115)
M_tot   0.00 μB/f.u.

Unit cell a=4.107 b=4.107 c=9.875 alpha=90.00 beta=90.00 gamma=90.00
Positions (direct):
Cu (0.500, 0.500, 0.500)
Sm (0.000, 0.500, 0.743)
Ir (0.500, 0.000, 0.632)
Ir (0.000, 0.500, 0.368)
Ir (0.000, 0.000, 0.000)
P (0.000, 0.500, 0.137)
Ir (0.500, 0.500, 0.000)
Sm (0.500, 0.000, 0.257)
P (0.500, 0.000, 0.863)
P (0.000, 0.000, 0.500)

Entry from the Alexandria database: crystalline Th2CuP4Ir3 at its relaxed geometry (GGA-PBE).

E   -7.69 eV per atom
Space-group type   P-4m2 (115)
M_tot   0.00 μB/f.u.

Unit cell a=4.248 b=4.248 c=9.421 alpha=90.00 beta=90.00 gamma=90.00
Positions (direct):
Cu (0.500, 0.500, 0.500)
Th (0.000, 0.500, 0.752)
P (0.500, 0.500, 0.000)
P (0.000, 0.500, 0.368)
P (0.500, 0.000, 0.632)
P (0.000, 0.000, 0.000)
Ir (0.000, 0.000, 0.500)
Th (0.500, 0.000, 0.248)
Ir (0.500, 0.000, 0.888)
Ir (0.000, 0.500, 0.112)